1.
Here is RbHfBi2 at its PBEsol-relaxed geometry from Alexandria. Energies are from SCAN.

Output
The value obtained for the final energy is -958.8 eV per cell.

abc: 7.7144 7.7144 7.7144
angles: 90.00 90.00 90.00
Closest atoms and distances in Å follow each position.
Space group Fm-3m (No. 225)
Symmetry-distinct sites (fractional):
1 Rb 0.0000 0.0000 0.0000 x4  8 Bi 3.34
2 Hf 0.0000 0.0000 0.5000 x4  8 Bi 3.34
3 Bi 0.2500 0.2500 0.2500 x8  4 Hf 3.34, 4 Rb 3.34

=====

2.
Here is HfRe2Bi2 at its PBEsol-relaxed geometry from Alexandria. Energies are from SCAN.

Output
The value obtained for the final energy is -715.0 eV per cell.

abc: 3.5029 3.5029 18.4353
angles: 90.00 90.00 90.00
Closest atoms and distances in Å follow each position.
Space group I4/mmm (No. 139)
Symmetry-distinct sites (fractional):
1 Hf 0.0000 0.0000 0.0000 x2  8 Bi 3.21, 4 Hf 3.50
2 Re 0.0000 0.5000 0.2500 x4  4 Re 2.48
3 Bi 0.0000 0.0000 0.3894 x4  4 Re 3.11, 4 Hf 3.21